# Tl2Sn3Pb

A relaxed structure of Tl2Sn3Pb (PBE, the Alexandria database).

Values from the calculation:
Total magnetization   0.00 μB per formula unit
Crystal system   orthorhombic
Distance to the lowest polymorph of the same formula   45 meV/atom
Calculated formation energy   16 kJ per mole of atoms
N(E_F)   3.826 states/eV/f.u.

```
data_Tl2Sn3Pb
_cell_length_a 10.603
_cell_length_b 12.289
_cell_length_c 6.273
_cell_angle_alpha 90.00
_cell_angle_beta 90.00
_cell_angle_gamma 90.00
_symmetry_space_group_name_H-M 'I b a m'
_symmetry_Int_Tables_number 72
_symmetry_space_group_name_Hall '-I 2 2c'
loop_
_atom_site_label
_atom_site_type_symbol
_atom_site_fract_x
_atom_site_fract_y
_atom_site_fract_z
Tl1 Tl 0.238 0.138 0.000
Sn1 Sn 0.000 0.000 0.250
Sn2 Sn 0.000 0.253 0.250
Pb1 Pb 0.000 0.500 0.000
```